No. 1
Nd2Ga5Fe: relaxed, PBE.

Cell lengths 6.122, 6.122, 9.063 Å; angles 90.00, 90.00, 90.00 degrees
Space group I4mm (No. 107)
Symmetry-distinct sites (fractional):
Nd  0.000  0.500  0.000 [4 per cell]
Ga  0.000  0.000  0.026 [2 per cell]
Ga  0.219  0.219  0.248 [8 per cell]
Fe  0.000  0.000  0.760 [2 per cell]

Values from the calculation:
The value obtained for the calculated volume is 339.7 Å³ per cell. Its crystal system is tetragonal. For the formation enthalpy at 0 K, the calculation gives -0.390 eV per atom.


No. 2
NdGaFe: relaxed, PBE.

Cell lengths 4.2978, 4.2978, 3.9685 Å; angles 90.00, 90.00, 120.00 degrees
Space group P-6m2 (No. 187)
Symmetry-distinct sites (fractional):
Nd  0.0000  0.0000  0.0000 [1 per cell]
Ga  0.3333  0.6667  0.5000 [1 per cell]
Fe  0.6667  0.3333  0.5000 [1 per cell]

Values from the calculation:
The value obtained for the calculated volume is 63.5 Å³ per cell. Its crystal system is hexagonal. For the formation enthalpy at 0 K, the calculation gives -0.171 eV per atom.


No. 3
NdGa9Fe2: relaxed, PBE.

Cell lengths 7.9733, 7.9733, 3.7633 Å; angles 90.00, 90.00, 120.00 degrees
Space group P6/mmm (No. 191)
Symmetry-distinct sites (fractional):
Nd  0.0000  0.0000  0.0000 [1 per cell]
Ga  0.0000  0.5000  0.0000 [3 per cell]
Ga  0.2052  0.4105  0.5000 [6 per cell]
Fe  0.3333  0.6667  0.0000 [2 per cell]

Values from the calculation:
The value obtained for the calculated volume is 207.2 Å³ per cell. Its crystal system is hexagonal. For the formation enthalpy at 0 K, the calculation gives -0.248 eV per atom.


No. 4
Nd2GaFe: relaxed, PBE.

Cell lengths 3.3804, 3.3804, 31.0623 Å; angles 90.00, 90.00, 120.00 degrees
Space group R-3m (No. 166, hexagonal axes)
Symmetry-distinct sites (fractional):
Nd  0.0000  0.0000  0.0886 [6 per cell]
Ga  0.0000  0.0000  0.5000 [3 per cell]
Fe  0.0000  0.0000  0.0000 [3 per cell]

Values from the calculation:
The value obtained for the calculated volume is 307.4 Å³ per cell. Its crystal system is trigonal. For the formation enthalpy at 0 K, the calculation gives 0.451 eV per atom.


No. 5
Nd4Ga16Fe3: relaxed, PBE.

Cell lengths 6.117, 6.117, 11.410 Å; angles 90.00, 90.00, 90.00 degrees
Space group P4/mmm (No. 123)
Symmetry-distinct sites (fractional):
Nd  0.000  0.500  0.195 [4 per cell]
Ga  0.000  0.000  0.199 [2 per cell]
Ga  0.219  0.219  0.000 [4 per cell]
Ga  0.253  0.253  0.388 [8 per cell]
Ga  0.500  0.500  0.216 [2 per cell]
Fe  0.000  0.500  0.500 [2 per cell]
Fe  0.500  0.500  0.000 [1 per cell]

Values from the calculation:
The value obtained for the calculated volume is 426.9 Å³ per cell. Its crystal system is tetragonal. For the formation enthalpy at 0 K, the calculation gives -0.444 eV per atom.


No. 6
Nd4Ga12Fe: relaxed, PBE.

Cell lengths 8.764, 8.764, 8.764 Å; angles 90.00, 90.00, 90.00 degrees
Space group Im-3m (No. 229)
Symmetry-distinct sites (fractional):
Nd  0.250  0.250  0.250 [8 per cell]
Ga  0.000  0.000  0.286 [12 per cell]
Ga  0.000  0.250  0.500 [12 per cell]
Fe  0.000  0.000  0.000 [2 per cell]

Values from the calculation:
The value obtained for the calculated volume is 673.2 Å³ per cell. Its crystal system is cubic. For the formation enthalpy at 0 K, the calculation gives -0.536 eV per atom.


No. 7
Nd2GaFe2Rh5: relaxed, PBE.

Cell lengths 9.673, 9.673, 3.674 Å; angles 90.00, 90.00, 90.00 degrees
Space group P4/mbm (No. 127)
Symmetry-distinct sites (fractional):
Nd  0.179  0.321  0.000 [4 per cell]
Ga  0.000  0.000  0.000 [2 per cell]
Fe  0.121  0.621  0.000 [4 per cell]
Rh  0.000  0.500  0.500 [2 per cell]
Rh  0.062  0.795  0.500 [8 per cell]

Values from the calculation:
The value obtained for the calculated volume is 343.8 Å³ per cell. Its crystal system is tetragonal. For the formation enthalpy at 0 K, the calculation gives -0.354 eV per atom.


No. 8
Nd3GaFeS7: relaxed, PBE.

Cell lengths 9.9439, 9.9439, 6.2125 Å; angles 90.00, 90.00, 120.00 degrees
Space group P6_3 (No. 173)
Symmetry-distinct sites (fractional):
Nd  0.1524  0.3761  0.0000 [6 per cell]
Ga  0.3333  0.6667  0.4230 [2 per cell]
Fe  0.0000  0.0000  0.3170 [2 per cell]
S  0.0918  0.5715  0.2726 [6 per cell]
S  0.0967  0.2312  0.5813 [6 per cell]
S  0.3333  0.6667  0.7870 [2 per cell]

Values from the calculation:
As for the uncorrected formation energy: -1477 meV/atom. The value obtained for the calculated volume is 532.0 Å³ per cell. Its crystal system is hexagonal.


No. 9
GaFe2Ni8: relaxed, PBE.

Cell lengths 6.446, 12.412, 4.308 Å; angles 90.00, 130.08, 90.00 degrees
Space group C2/m (No. 12)
Symmetry-distinct sites (fractional):
Ga  0.000  0.000  0.000 [2 per cell]
Fe  0.000  0.314  0.500 [4 per cell]
Ni  0.000  0.193  0.000 [4 per cell]
Ni  0.038  0.500  0.783 [4 per cell]
Ni  0.242  0.137  0.728 [8 per cell]

Values from the calculation:
The value obtained for the calculated volume is 263.7 Å³ per cell. Its crystal system is monoclinic. For the formation enthalpy at 0 K, the calculation gives 0.065 eV per atom. The value obtained for the energy above the most stable polymorph in this dataset is 0.079 eV/atom.


No. 10
GaFe2Ni6: relaxed, PBE.

Cell lengths 7.914, 3.585, 7.549 Å; angles 90.00, 107.01, 90.00 degrees
Space group C2/m (No. 12)
Symmetry-distinct sites (fractional):
Ga  0.000  0.000  0.000 [2 per cell]
Fe  0.180  0.500  0.236 [4 per cell]
Ni  0.005  0.000  0.334 [4 per cell]
Ni  0.162  0.500  0.889 [4 per cell]
Ni  0.165  0.500  0.555 [4 per cell]

Values from the calculation:
The value obtained for the calculated volume is 204.8 Å³ per cell. Its crystal system is monoclinic. For the formation enthalpy at 0 K, the calculation gives -0.140 eV per atom.


No. 11
Ga3FeNi2: relaxed, PBE.

Cell lengths 2.945, 2.945, 8.493 Å; angles 90.00, 90.00, 90.00 degrees
Space group P4/mmm (No. 123)
Symmetry-distinct sites (fractional):
Ga  0.000  0.000  0.000 [1 per cell]
Ga  0.000  0.000  0.338 [2 per cell]
Fe  0.500  0.500  0.500 [1 per cell]
Ni  0.500  0.500  0.165 [2 per cell]

Values from the calculation:
The value obtained for the calculated volume is 73.7 Å³ per cell. Its crystal system is tetragonal. For the formation enthalpy at 0 K, the calculation gives -0.267 eV per atom.


No. 12
Ga2FeNi: relaxed, PBE.

Cell lengths 4.063, 4.063, 2.951 Å; angles 90.00, 90.00, 90.00 degrees
Space group P4/mmm (No. 123)
Symmetry-distinct sites (fractional):
Ga  0.000  0.500  0.000 [2 per cell]
Fe  0.000  0.000  0.500 [1 per cell]
Ni  0.500  0.500  0.500 [1 per cell]

Values from the calculation:
The value obtained for the calculated volume is 48.7 Å³ per cell. Its crystal system is tetragonal. For the formation enthalpy at 0 K, the calculation gives -0.240 eV per atom.


No. 13
GaFeNi6: relaxed, PBE.

Cell lengths 3.570, 3.570, 7.083 Å; angles 90.00, 90.00, 90.00 degrees
Space group P4/mmm (No. 123)
Symmetry-distinct sites (fractional):
Ga  0.000  0.000  0.000 [1 per cell]
Fe  0.000  0.000  0.500 [1 per cell]
Ni  0.000  0.500  0.255 [4 per cell]
Ni  0.500  0.500  0.000 [1 per cell]
Ni  0.500  0.500  0.500 [1 per cell]

Values from the calculation:
The value obtained for the calculated volume is 90.3 Å³ per cell. Its crystal system is tetragonal. For the formation enthalpy at 0 K, the calculation gives -0.191 eV per atom. The value obtained for the energy above the most stable polymorph in this dataset is 0.000 eV/atom.


No. 14
GaFeNi2: relaxed, PBE.

Cell lengths 3.626, 3.626, 3.594 Å; angles 90.00, 90.00, 90.00 degrees
Space group P4/mmm (No. 123)
Symmetry-distinct sites (fractional):
Ga  0.000  0.000  0.000 [1 per cell]
Fe  0.500  0.500  0.000 [1 per cell]
Ni  0.000  0.500  0.500 [2 per cell]

Values from the calculation:
The value obtained for the calculated volume is 47.3 Å³ per cell. Its crystal system is tetragonal. For the formation enthalpy at 0 K, the calculation gives -0.193 eV per atom.


No. 15
Ga6FeNi12: relaxed, PBE.

Cell lengths 10.7266, 10.7266, 7.5599 Å; angles 90.00, 90.00, 120.00 degrees
Space group R-3m (No. 166, hexagonal axes)
Symmetry-distinct sites (fractional):
Ga  0.0631  0.5316  0.2404 [18 per cell]
Fe  0.0000  0.0000  0.0000 [3 per cell]
Ni  0.0000  0.3824  0.5000 [18 per cell]
Ni  0.0792  0.1585  0.2657 [18 per cell]

Values from the calculation:
The value obtained for the calculated volume is 753.3 Å³ per cell. Its crystal system is trigonal. For the formation enthalpy at 0 K, the calculation gives -0.026 eV per atom.


No. 16
GaFe2Ni2: relaxed, PBE.

Cell lengths 3.395, 3.395, 11.360 Å; angles 90.00, 90.00, 90.00 degrees
Space group I4/mmm (No. 139)
Symmetry-distinct sites (fractional):
Ga  0.000  0.000  0.000 [2 per cell]
Fe  0.000  0.000  0.399 [4 per cell]
Ni  0.000  0.500  0.250 [4 per cell]

Values from the calculation:
The value obtained for the calculated volume is 130.9 Å³ per cell. Its crystal system is tetragonal. For the formation enthalpy at 0 K, the calculation gives 0.262 eV per atom.


No. 17
GaFeNi14: relaxed, PBE.

Cell lengths 8.169, 5.030, 8.641 Å; angles 90.00, 90.00, 90.00 degrees
Space group Amm2 (No. 38)
Symmetry-distinct sites (fractional):
Ga  0.000  0.000  0.000 [2 per cell]
Fe  0.000  0.000  0.499 [2 per cell]
Ni  0.000  0.249  0.251 [4 per cell]
Ni  0.250  0.000  0.332 [4 per cell]
Ni  0.250  0.248  0.582 [8 per cell]
Ni  0.252  0.000  0.831 [4 per cell]
Ni  0.500  0.000  0.163 [2 per cell]
Ni  0.500  0.000  0.664 [2 per cell]
Ni  0.500  0.250  0.413 [4 per cell]

Values from the calculation:
The value obtained for the calculated volume is 355.1 Å³ per cell. Its crystal system is orthorhombic. For the formation enthalpy at 0 K, the calculation gives -0.054 eV per atom.


No. 18
Ga3FeNi: relaxed, PBE.

Cell lengths 4.578, 4.578, 4.578 Å; angles 90.00, 90.00, 90.00 degrees
Space group Pm-3m (No. 221)
Symmetry-distinct sites (fractional):
Ga  0.000  0.000  0.500 [3 per cell]
Fe  0.500  0.500  0.500 [1 per cell]
Ni  0.000  0.000  0.000 [1 per cell]

Values from the calculation:
The value obtained for the calculated volume is 95.9 Å³ per cell. Its crystal system is cubic. For the formation enthalpy at 0 K, the calculation gives 0.382 eV per atom.


No. 19
Ga2Fe6Ni: relaxed, PBE.

Cell lengths 9.474, 8.100, 2.987 Å; angles 90.00, 108.23, 90.00 degrees
Space group C2/m (No. 12)
Symmetry-distinct sites (fractional):
Ga  0.175  0.000  0.175 [4 per cell]
Fe  0.000  0.167  0.500 [4 per cell]
Fe  0.160  0.326  0.160 [8 per cell]
Ni  0.000  0.500  0.500 [2 per cell]

Values from the calculation:
The value obtained for the calculated volume is 217.7 Å³ per cell. Its crystal system is monoclinic. For the formation enthalpy at 0 K, the calculation gives -0.068 eV per atom.


No. 20
GaFe2Ni8: relaxed, PBE.

Cell lengths 3.845, 6.150, 10.868 Å; angles 90.00, 90.00, 90.00 degrees
Space group Immm (No. 71)
Symmetry-distinct sites (fractional):
Ga  0.000  0.000  0.000 [2 per cell]
Fe  0.000  0.000  0.305 [4 per cell]
Ni  0.000  0.199  0.500 [4 per cell]
Ni  0.000  0.286  0.153 [8 per cell]
Ni  0.000  0.500  0.346 [4 per cell]

Values from the calculation:
The value obtained for the calculated volume is 257.0 Å³ per cell. Its crystal system is orthorhombic. For the formation enthalpy at 0 K, the calculation gives -0.014 eV per atom. The value obtained for the energy above the most stable polymorph in this dataset is 0.000 eV/atom.


No. 21
GaFe3Ni4: relaxed, PBE.

Cell lengths 3.589, 3.589, 14.325 Å; angles 90.00, 90.00, 90.00 degrees
Space group I4/mmm (No. 139)
Symmetry-distinct sites (fractional):
Ga  0.000  0.000  0.000 [2 per cell]
Fe  0.000  0.000  0.248 [4 per cell]
Fe  0.000  0.000  0.500 [2 per cell]
Ni  0.000  0.500  0.126 [8 per cell]

Values from the calculation:
The value obtained for the calculated volume is 184.5 Å³ per cell. Its crystal system is tetragonal. For the formation enthalpy at 0 K, the calculation gives -0.133 eV per atom.